(1)
Ta4Te8P: optimized geometry, PBE-GGA.

Output
The total DFT energy (no corrections) is -6.40 eV per atom. The calculation puts the volume at 29.080 Å³ per atom. The uncorrected formation energy is -5.2 eV per formula unit. As for the symmetry: Pbam (55).

Unit cell a=3.714 b=11.782 c=17.277 alpha=90.00 beta=90.00 gamma=90.00
Sites, in units of the cell vectors:
Ta (0.000, 0.341, 0.585)
Te (0.500, 0.925, 0.807)
Te (0.000, 0.715, 0.666)
Te (0.000, 0.785, 0.166)
Te (0.500, 0.298, 0.004)
Te (0.500, 0.798, 0.496)
Ta (0.500, 0.584, 0.572)
Ta (0.500, 0.916, 0.072)
Te (0.500, 0.702, 0.996)
P (0.000, 0.500, 0.500)
Te (0.500, 0.425, 0.693)
Ta (0.500, 0.416, 0.428)
Te (0.000, 0.285, 0.334)
Ta (0.000, 0.841, 0.915)
Te (0.000, 0.215, 0.834)
Te (0.000, 0.640, 0.822)
Ta (0.000, 0.659, 0.415)
Te (0.000, 0.860, 0.322)
Te (0.500, 0.575, 0.307)
Te (0.000, 0.360, 0.178)
Te (0.000, 0.140, 0.678)
Te (0.500, 0.075, 0.193)
Te (0.500, 0.202, 0.504)
Ta (0.000, 0.159, 0.085)
Ta (0.500, 0.084, 0.928)
P (0.000, 0.000, 0.000)

---

(2)
Ta2TeP: optimized geometry, PBE-GGA.

Output
The relative energy among the computed polymorphs comes out at 759 meV/atom. The total DFT energy (no corrections) is -7.67 eV per atom. The calculation puts the volume at 18.739 Å³ per atom. The uncorrected formation energy is 1.6 eV per formula unit. As for the symmetry: C2/m (12).

Unit cell a=5.160 b=5.160 c=3.279 alpha=76.91 beta=76.91 gamma=110.63
Sites, in units of the cell vectors:
P (0.500, 0.500, 0.500)
Te (0.000, 0.000, 0.500)
Ta (0.000, 0.500, 0.000)
Ta (0.500, 0.000, 0.000)

---

(3)
Ta2TeP: optimized geometry, PBE-GGA.

Output
The relative energy among the computed polymorphs comes out at 152 meV/atom. The total DFT energy (no corrections) is -8.28 eV per atom. The calculation puts the volume at 19.038 Å³ per atom. The uncorrected formation energy is -0.9 eV per formula unit. As for the symmetry: Cm (8).

Unit cell a=4.815 b=4.815 c=5.198 alpha=76.52 beta=76.52 gamma=40.73
Sites, in units of the cell vectors:
Ta (0.751, 0.751, 0.762)
P (0.265, 0.265, 0.122)
Ta (0.986, 0.986, 0.080)
Te (0.499, 0.499, 0.535)

---

(4)
Ta2TeP: optimized geometry, PBE-GGA.

Output
The relative energy among the computed polymorphs comes out at 850 meV/atom. The total DFT energy (no corrections) is -7.58 eV per atom. The calculation puts the volume at 18.538 Å³ per atom. The uncorrected formation energy is 1.9 eV per formula unit. As for the symmetry: F-43m (216).

Unit cell a=4.716 b=4.716 c=4.716 alpha=60.00 beta=60.00 gamma=60.00
Sites, in units of the cell vectors:
P (0.500, 0.500, 0.500)
Te (0.250, 0.250, 0.250)
Ta (0.000, 0.000, 0.000)
Ta (0.750, 0.750, 0.750)

---

(5)
Y2TaTeP: optimized geometry, PBE-GGA.

Output
The total DFT energy (no corrections) is -6.22 eV per atom. The calculation puts the volume at 27.795 Å³ per atom. The uncorrected formation energy is 2.2 eV per formula unit. As for the symmetry: P4/mmm (123).

Unit cell a=5.183 b=5.174 c=5.183 alpha=90.00 beta=90.00 gamma=90.00
Sites, in units of the cell vectors:
Y (0.500, 0.000, 0.000)
Te (0.000, 0.500, 0.000)
P (0.000, 0.000, 0.000)
Ta (0.500, 0.500, 0.500)
Y (0.000, 0.000, 0.500)

---

(6)
Ta2ZnTeP: optimized geometry, PBE-GGA.

Output
The total DFT energy (no corrections) is -5.87 eV per atom. The calculation puts the volume at 22.559 Å³ per atom. The uncorrected formation energy is 4.2 eV per formula unit. As for the symmetry: P4/mmm (123).

Unit cell a=4.647 b=5.223 c=4.647 alpha=90.00 beta=90.00 gamma=90.00
Sites, in units of the cell vectors:
Ta (0.000, 0.000, 0.500)
Ta (0.500, 0.000, 0.000)
Te (0.000, 0.500, 0.000)
P (0.000, 0.000, 0.000)
Zn (0.500, 0.500, 0.500)

---

(7)
ThTaP2: optimized geometry, PBE-GGA.

Output
The total DFT energy (no corrections) is -8.55 eV per atom. The calculation puts the volume at 19.984 Å³ per atom. As for the symmetry: R-3m (166). For the formation energy, the calculation gives -1.0280 eV/atom.

Unit cell a=3.876 b=3.876 c=6.538 alpha=72.76 beta=72.76 gamma=60.00
Sites, in units of the cell vectors:
Ta (0.000, 0.000, 0.000)
Th (0.500, 0.500, 0.500)
P (0.262, 0.262, 0.213)
P (0.738, 0.738, 0.787)

---

(8)
ThTaP: optimized geometry, PBE-GGA.

Output
The total DFT energy (no corrections) is -8.90 eV per atom. The calculation puts the volume at 22.732 Å³ per atom. As for the symmetry: C2/m (12). For the formation energy, the calculation gives -0.6726 eV/atom.

Unit cell a=3.744 b=5.450 c=7.368 alpha=104.04 beta=90.00 gamma=110.09
Sites, in units of the cell vectors:
Ta (0.134, 0.268, 0.447)
P (0.319, 0.637, 0.761)
Th (0.390, 0.780, 0.182)
Ta (0.866, 0.732, 0.553)
Th (0.610, 0.220, 0.818)
P (0.681, 0.363, 0.239)